# 1
Compound: Pu8Hg2Rh3
Source: Alexandria
Functional: PBE-GGA
Structure: relaxed

Cell: 15.8811 9.4430 4.1601 Å, 90.00 104.36 90.00°
Last column: nearest neighbours and their distance in Å.
Space group C2/m (No. 12)
Asymmetric unit:
Pu: 0.0437 0.0000 0.2765 (multiplicity 4)  4 Pu 2.37-2.58
Pu: 0.1209 0.5000 0.6089 (multiplicity 4)  4 Rh 2.77-2.81, 1 Hg 3.08
Pu: 0.1268 0.2098 0.1280 (multiplicity 8)  1 Pu 2.54
Hg: 0.2298 0.0000 0.7447 (multiplicity 4)  7 Pu 3.08-3.33
Rh: 0.0000 0.2775 0.5000 (multiplicity 4)  8 Pu 2.81-2.95, 2 Rh 2.96
Rh: 0.0000 0.5000 0.0000 (multiplicity 2)  4 Pu 2.77-2.81, 4 Rh 2.96

***

# 2
Compound: CaTe2Rh
Source: Alexandria
Functional: PBE-GGA
Structure: relaxed

energy relative to the lowest polymorph listed for this composition: 0.1417 eV/atom

Cell: 3.8360 5.0686 11.8805 Å, 90.00 90.00 90.00°
Last column: nearest neighbours and their distance in Å.
Space group Immm (No. 71)
Asymmetric unit:
Ca: 0.0000 0.0000 0.0000 (multiplicity 2)  4 Te 3.14, 4 Rh 3.18
Te: 0.0000 0.5000 0.1558 (multiplicity 4)  2 Rh 2.67
Rh: 0.0000 0.0000 0.5000 (multiplicity 2)  4 Te 2.67

***

# 3
Compound: SmGdAlPb
Source: Alexandria
Functional: PBE-GGA
Structure: relaxed

Cell: 7.5834 7.5834 7.5834 Å, 90.00 90.00 90.00°
Last column: nearest neighbours and their distance in Å.
Space group F-43m (No. 216)
Asymmetric unit:
Sm: 0.0000 0.0000 0.0000 (multiplicity 4)  4 Pb 3.28, 4 Al 3.28
Gd: 0.0000 0.0000 0.5000 (multiplicity 4)  4 Pb 3.28, 4 Al 3.28
Al: 0.2500 0.2500 0.7500 (multiplicity 4)  4 Gd 3.28, 4 Sm 3.28
Pb: 0.2500 0.2500 0.2500 (multiplicity 4)  4 Gd 3.28, 4 Sm 3.28

***

VASP energy for the records above, in order: -10.6896 -4.5814 -6.9200 eV per atom